No. 1
The following is a GGA-PBE calculation of an optimized crystal structure of La3HoTm6, from Alexandria via LeMat-Bulk.

Calculated values
The mass density comes out at 8.15 g/cm3. The spin magnetization comes out at 0.00 μB per atom. Its energy of formation is 0.307 eV/atom. As for the uncorrected energy: -129.4 eV for the cell shown. The energy above the most stable polymorph in this dataset comes out at 149 meV/atom.

Cell lengths 9.8644, 9.8644, 11.5674 Å; angles 90.00, 90.00, 120.00 degrees
Space group R-3 (No. 148, hexagonal axes)
Unique sites:
La (0.0000, 0.0000, 0.0000) x3
La (0.0000, 0.0000, 0.2481) x6
Ho (0.0000, 0.0000, 0.5000) x3
Tm (0.0036, 0.3419, 0.9169) x18



No. 2
The following is a GGA-PBE calculation of an optimized crystal structure of VSiTe2I, from Alexandria via LeMat-Bulk.

Calculated values
The mass density comes out at 5.05 g/cm3. The spin magnetization comes out at 0.63 μB per atom. As for the uncorrected energy: -18.7 eV for the cell shown. The energy above the most stable polymorph in this dataset comes out at 183 meV/atom.

Cell lengths 5.2964, 5.2964, 5.4092 Å; angles 90.00, 90.00, 90.00 degrees
Space group P4/mmm (No. 123)
Unique sites:
V (0.0000, 0.0000, 0.0000) x1
Si (0.5000, 0.5000, 0.5000) x1
Te (0.0000, 0.5000, 0.5000) x2
I (0.5000, 0.5000, 0.0000) x1



No. 3
The following is a GGA-PBE calculation of an optimized crystal structure of Gd2DyTh, from Alexandria via LeMat-Bulk.

Calculated values
The mass density comes out at 9.07 g/cm3. The spin magnetization comes out at 3.64 μB per atom. Its energy of formation is 0.180 eV/atom. As for the uncorrected energy: -118.4 eV for the cell shown. The energy above the most stable polymorph in this dataset comes out at 143 meV/atom.

Cell lengths 3.4667, 3.4667, 37.4101 Å; angles 90.00, 90.00, 120.00 degrees
Space group R-3m (No. 166, hexagonal axes)
Unique sites:
Gd (0.0000, 0.0000, 0.0897) x6
Dy (0.0000, 0.0000, 0.5000) x3
Th (0.0000, 0.0000, 0.0000) x3



No. 4
The following is a GGA-PBE calculation of an optimized crystal structure of AcAl2Ag9, from Alexandria via LeMat-Bulk.

Calculated values
The mass density comes out at 8.74 g/cm3. The spin magnetization comes out at 0.00 μB per atom. Its energy of formation is -0.146 eV/atom. As for the uncorrected energy: -156.0 eV for the cell shown.

Cell lengths 11.4528, 11.4528, 7.2543 Å; angles 90.00, 90.00, 90.00 degrees
Space group I4_1/amd (No. 141, origin choice 2)
Unique sites:
Ac (0.0000, 0.2500, 0.3750) x4
Al (0.0000, 0.0000, 0.0000) x8
Ag (0.0000, 0.2500, 0.8750) x4
Ag (0.1219, 0.0480, 0.6862) x32



No. 5
The following is a GGA-PBE calculation of an optimized crystal structure of Hf4ZrRe, from Alexandria via LeMat-Bulk.

Calculated values
The mass density comes out at 11.29 g/cm3. The spin magnetization comes out at 0.00 μB per atom. Its energy of formation is 0.446 eV/atom. As for the uncorrected energy: -58.1 eV for the cell shown. The energy above the most stable polymorph in this dataset comes out at 544 meV/atom.

Cell lengths 4.4816, 4.4816, 7.2603 Å; angles 90.00, 90.00, 90.00 degrees
Space group P4/mmm (No. 123)
Unique sites:
Hf (0.0000, 0.5000, 0.2195) x4
Zr (0.0000, 0.0000, 0.5000) x1
Re (0.5000, 0.5000, 0.0000) x1



No. 6
The following is a GGA-PBE calculation of an optimized crystal structure of HgGeAs, from Alexandria via LeMat-Bulk.

Calculated values
The mass density comes out at 6.77 g/cm3. The spin magnetization comes out at 0.00 μB per atom. Its energy of formation is 0.103 eV/atom. As for the uncorrected energy: -18.5 eV for the cell shown. The energy above the most stable polymorph in this dataset comes out at 34 meV/atom.

Cell lengths 3.8913, 6.4612, 7.1763 Å; angles 80.27, 76.39, 79.39 degrees
Space group P1 (No. 1)
Unique sites:
Hg (0.0000, 0.0000, 0.0000) x1
Hg (0.4852, 0.9871, 0.4899) x1
Ge (0.5341, 0.6287, 0.3554) x1
Ge (0.8771, 0.4022, 0.8562) x1
As (0.1407, 0.5904, 0.1359) x1
As (0.4917, 0.3380, 0.6304) x1



No. 7
The following is a GGA-PBE calculation of an optimized crystal structure of YPd7Au2, from Alexandria via LeMat-Bulk.

Calculated values
The mass density comes out at 9.32 g/cm3. The spin magnetization comes out at 0.00 μB per atom. Its energy of formation is 0.099 eV/atom. As for the uncorrected energy: -96.8 eV for the cell shown.

Cell lengths 7.2451, 13.4096, 4.5029 Å; angles 90.00, 90.00, 90.00 degrees
Space group Cmmm (No. 65)
Unique sites:
Y (0.0000, 0.0000, 0.0000) x2
Pd (0.0000, 0.1980, 0.0000) x4
Pd (0.0000, 0.5000, 0.5000) x2
Pd (0.1811, 0.1066, 0.5000) x8
Au (0.0000, 0.2990, 0.5000) x4



No. 8
The following is a GGA-PBE calculation of an optimized crystal structure of InSbAu, from Alexandria via LeMat-Bulk.

Calculated values
The mass density comes out at 9.42 g/cm3. The spin magnetization comes out at 0.00 μB per atom. As for the uncorrected energy: -20.3 eV for the cell shown.

Cell lengths 5.5591, 4.0487, 7.1571 Å; angles 90.00, 108.41, 90.00 degrees
Space group P2/m (No. 10)
Unique sites:
In (0.1044, 0.0000, 0.2693) x2
Sb (0.3198, 0.5000, 0.6332) x2
Au (0.2577, 0.5000, 0.0246) x2